(1)
The following is a DFT calculation (GGA-PBEsol) of a relaxed structure of ErMgAg2.

Calculated values
calculated formation energy: -0.31 eV/atom
DFT total energy: -3.630 eV/atom
crystal system: cubic

```
data_ErMgAg2
_chemical_formula_sum 'Er4 Mg4 Ag8'
_cell_length_a 6.839
_cell_length_b 6.839
_cell_length_c 6.839
_cell_angle_alpha 90.00
_cell_angle_beta 90.00
_cell_angle_gamma 90.00
_space_group_name_H-M_alt 'P 1'
_space_group_IT_number 1
_space_group_name_Hall 'P 1'
loop_
_atom_site_label
_atom_site_type_symbol
_atom_site_fract_x
_atom_site_fract_y
_atom_site_fract_z
Er1 Er 0.000 0.000 0.000
Er2 Er 0.000 0.500 0.500
Er3 Er 0.500 0.000 0.500
Er4 Er 0.500 0.500 0.000
Mg1 Mg 0.000 0.000 0.500
Mg2 Mg 0.000 0.500 0.000
Mg3 Mg 0.500 0.000 0.000
Mg4 Mg 0.500 0.500 0.500
Ag1 Ag 0.250 0.250 0.250
Ag2 Ag 0.250 0.250 0.750
Ag3 Ag 0.250 0.750 0.250
Ag4 Ag 0.250 0.750 0.750
Ag5 Ag 0.750 0.250 0.250
Ag6 Ag 0.750 0.250 0.750
Ag7 Ag 0.750 0.750 0.250
Ag8 Ag 0.750 0.750 0.750
```


(2)
The following is a DFT calculation (GGA-PBEsol) of a relaxed structure of ErTa5Ag2O15.

Calculated values
E_form (uncorrected): -5599 kJ/mol of formula units
DFT total energy: -9.177 eV/atom
crystal system: tetragonal

```
data_ErTa5Ag2O15
_chemical_formula_sum 'Er2 Ta10 Ag4 O30'
_cell_length_a 12.441
_cell_length_b 12.441
_cell_length_c 3.882
_cell_angle_alpha 90.00
_cell_angle_beta 90.00
_cell_angle_gamma 90.00
_space_group_name_H-M_alt 'P 1'
_space_group_IT_number 1
_space_group_name_Hall 'P 1'
loop_
_atom_site_label
_atom_site_type_symbol
_atom_site_fract_x
_atom_site_fract_y
_atom_site_fract_z
Er1 Er 0.000 0.000 0.000
Er2 Er 0.500 0.500 0.000
Ta1 Ta 0.000 0.500 0.500
Ta2 Ta 0.081 0.209 0.500
Ta3 Ta 0.209 0.919 0.500
Ta4 Ta 0.291 0.419 0.500
Ta5 Ta 0.419 0.709 0.500
Ta6 Ta 0.500 0.000 0.500
Ta7 Ta 0.581 0.291 0.500
Ta8 Ta 0.709 0.581 0.500
Ta9 Ta 0.791 0.081 0.500
Ta10 Ta 0.919 0.791 0.500
Ag1 Ag 0.157 0.657 0.000
Ag2 Ag 0.343 0.157 0.000
Ag3 Ag 0.657 0.843 0.000
Ag4 Ag 0.843 0.343 0.000
O1 O 0.000 0.500 0.000
O2 O 0.002 0.660 0.500
O3 O 0.057 0.870 0.500
O4 O 0.078 0.186 0.000
O5 O 0.130 0.057 0.500
O6 O 0.160 0.502 0.500
O7 O 0.186 0.922 0.000
O8 O 0.226 0.274 0.500
O9 O 0.274 0.774 0.500
O10 O 0.314 0.422 0.000
O11 O 0.340 0.002 0.500
O12 O 0.370 0.557 0.500
O13 O 0.422 0.686 0.000
O14 O 0.443 0.370 0.500
O15 O 0.498 0.160 0.500
O16 O 0.500 0.000 0.000
O17 O 0.502 0.840 0.500
O18 O 0.557 0.630 0.500
O19 O 0.578 0.314 0.000
O20 O 0.630 0.443 0.500
O21 O 0.660 0.998 0.500
O22 O 0.686 0.578 0.000
O23 O 0.726 0.226 0.500
O24 O 0.774 0.726 0.500
O25 O 0.814 0.078 0.000
O26 O 0.840 0.498 0.500
O27 O 0.870 0.943 0.500
O28 O 0.922 0.814 0.000
O29 O 0.943 0.130 0.500
O30 O 0.998 0.340 0.500
```


(3)
The following is a DFT calculation (GGA-PBEsol) of a relaxed structure of Er2AgOs.

Calculated values
calculated formation energy: -0.32 eV/atom
DFT total energy: -6.669 eV/atom
crystal system: cubic

```
data_Er2AgOs
_chemical_formula_sum 'Er8 Ag4 Os4'
_cell_length_a 6.818
_cell_length_b 6.818
_cell_length_c 6.818
_cell_angle_alpha 90.00
_cell_angle_beta 90.00
_cell_angle_gamma 90.00
_space_group_name_H-M_alt 'P 1'
_space_group_IT_number 1
_space_group_name_Hall 'P 1'
loop_
_atom_site_label
_atom_site_type_symbol
_atom_site_fract_x
_atom_site_fract_y
_atom_site_fract_z
Er1 Er 0.250 0.250 0.250
Er2 Er 0.250 0.250 0.750
Er3 Er 0.250 0.750 0.250
Er4 Er 0.250 0.750 0.750
Er5 Er 0.750 0.250 0.250
Er6 Er 0.750 0.250 0.750
Er7 Er 0.750 0.750 0.250
Er8 Er 0.750 0.750 0.750
Ag1 Ag 0.000 0.000 0.000
Ag2 Ag 0.000 0.500 0.500
Ag3 Ag 0.500 0.000 0.500
Ag4 Ag 0.500 0.500 0.000
Os1 Os 0.000 0.000 0.500
Os2 Os 0.000 0.500 0.000
Os3 Os 0.500 0.000 0.000
Os4 Os 0.500 0.500 0.500
```


(4)
The following is a DFT calculation (GGA-PBEsol) of a relaxed structure of ErSiAg.

Calculated values
E_form (uncorrected): -192 kJ/mol of formula units
DFT total energy: -5.324 eV/atom
crystal system: hexagonal

```
data_ErSiAg
_chemical_formula_sum 'Er3 Si3 Ag3'
_cell_length_a 6.882
_cell_length_b 6.882
_cell_length_c 4.121
_cell_angle_alpha 90.00
_cell_angle_beta 90.00
_cell_angle_gamma 120.00
_space_group_name_H-M_alt 'P 1'
_space_group_IT_number 1
_space_group_name_Hall 'P 1'
loop_
_atom_site_label
_atom_site_type_symbol
_atom_site_fract_x
_atom_site_fract_y
_atom_site_fract_z
Er1 Er 0.000 0.420 0.000
Er2 Er 0.420 0.000 0.000
Er3 Er 0.580 0.580 0.000
Si1 Si 0.000 0.000 0.000
Si2 Si 0.333 0.667 0.500
Si3 Si 0.667 0.333 0.500
Ag1 Ag 0.000 0.750 0.500
Ag2 Ag 0.250 0.250 0.500
Ag3 Ag 0.750 0.000 0.500
```


(5)
The following is a DFT calculation (GGA-PBEsol) of a relaxed structure of ErAgSn2.

Calculated values
calculated formation energy: -0.46 eV/atom
DFT total energy: -4.653 eV/atom
crystal system: tetragonal

```
data_ErAgSn2
_chemical_formula_sum 'Er1 Ag1 Sn2'
_cell_length_a 4.546
_cell_length_b 4.546
_cell_length_c 4.274
_cell_angle_alpha 90.00
_cell_angle_beta 90.00
_cell_angle_gamma 90.00
_space_group_name_H-M_alt 'P 1'
_space_group_IT_number 1
_space_group_name_Hall 'P 1'
loop_
_atom_site_label
_atom_site_type_symbol
_atom_site_fract_x
_atom_site_fract_y
_atom_site_fract_z
Er1 Er 0.000 0.000 0.000
Ag1 Ag 0.500 0.500 0.000
Sn1 Sn 0.000 0.500 0.500
Sn2 Sn 0.500 0.000 0.500
```


(6)
The following is a DFT calculation (GGA-PBEsol) of a relaxed structure of Er2TcAg.

Calculated values
calculated formation energy: -0.15 eV/atom
DFT total energy: -6.256 eV/atom
crystal system: cubic

```
data_Er2TcAg
_chemical_formula_sum 'Er8 Tc4 Ag4'
_cell_length_a 6.838
_cell_length_b 6.838
_cell_length_c 6.838
_cell_angle_alpha 90.00
_cell_angle_beta 90.00
_cell_angle_gamma 90.00
_space_group_name_H-M_alt 'P 1'
_space_group_IT_number 1
_space_group_name_Hall 'P 1'
loop_
_atom_site_label
_atom_site_type_symbol
_atom_site_fract_x
_atom_site_fract_y
_atom_site_fract_z
Er1 Er 0.250 0.250 0.250
Er2 Er 0.250 0.250 0.750
Er3 Er 0.250 0.750 0.250
Er4 Er 0.250 0.750 0.750
Er5 Er 0.750 0.250 0.250
Er6 Er 0.750 0.250 0.750
Er7 Er 0.750 0.750 0.250
Er8 Er 0.750 0.750 0.750
Tc1 Tc 0.000 0.000 0.000
Tc2 Tc 0.000 0.500 0.500
Tc3 Tc 0.500 0.000 0.500
Tc4 Tc 0.500 0.500 0.000
Ag1 Ag 0.000 0.000 0.500
Ag2 Ag 0.000 0.500 0.000
Ag3 Ag 0.500 0.000 0.000
Ag4 Ag 0.500 0.500 0.500
```


(7)
The following is a DFT calculation (GGA-PBEsol) of a relaxed structure of Er2TlAg.

Calculated values
calculated formation energy: -0.38 eV/atom
DFT total energy: -4.329 eV/atom
crystal system: cubic

```
data_Er2TlAg
_chemical_formula_sum 'Er8 Tl4 Ag4'
_cell_length_a 7.245
_cell_length_b 7.245
_cell_length_c 7.245
_cell_angle_alpha 90.00
_cell_angle_beta 90.00
_cell_angle_gamma 90.00
_space_group_name_H-M_alt 'P 1'
_space_group_IT_number 1
_space_group_name_Hall 'P 1'
loop_
_atom_site_label
_atom_site_type_symbol
_atom_site_fract_x
_atom_site_fract_y
_atom_site_fract_z
Er1 Er 0.250 0.250 0.250
Er2 Er 0.250 0.250 0.750
Er3 Er 0.250 0.750 0.250
Er4 Er 0.250 0.750 0.750
Er5 Er 0.750 0.250 0.250
Er6 Er 0.750 0.250 0.750
Er7 Er 0.750 0.750 0.250
Er8 Er 0.750 0.750 0.750
Tl1 Tl 0.000 0.000 0.000
Tl2 Tl 0.000 0.500 0.500
Tl3 Tl 0.500 0.000 0.500
Tl4 Tl 0.500 0.500 0.000
Ag1 Ag 0.000 0.000 0.500
Ag2 Ag 0.000 0.500 0.000
Ag3 Ag 0.500 0.000 0.000
Ag4 Ag 0.500 0.500 0.500
```


(8)
The following is a DFT calculation (GGA-PBEsol) of a relaxed structure of YErAg2.

Calculated values
calculated formation energy: -0.34 eV/atom
DFT total energy: -4.937 eV/atom
crystal system: cubic

```
data_YErAg2
_chemical_formula_sum 'Y4 Er4 Ag8'
_cell_length_a 7.115
_cell_length_b 7.115
_cell_length_c 7.115
_cell_angle_alpha 90.00
_cell_angle_beta 90.00
_cell_angle_gamma 90.00
_space_group_name_H-M_alt 'P 1'
_space_group_IT_number 1
_space_group_name_Hall 'P 1'
loop_
_atom_site_label
_atom_site_type_symbol
_atom_site_fract_x
_atom_site_fract_y
_atom_site_fract_z
Y1 Y 0.000 0.000 0.000
Y2 Y 0.000 0.500 0.500
Y3 Y 0.500 0.000 0.500
Y4 Y 0.500 0.500 0.000
Er1 Er 0.000 0.000 0.500
Er2 Er 0.000 0.500 0.000
Er3 Er 0.500 0.000 0.000
Er4 Er 0.500 0.500 0.500
Ag1 Ag 0.250 0.250 0.250
Ag2 Ag 0.250 0.250 0.750
Ag3 Ag 0.250 0.750 0.250
Ag4 Ag 0.250 0.750 0.750
Ag5 Ag 0.750 0.250 0.250
Ag6 Ag 0.750 0.250 0.750
Ag7 Ag 0.750 0.750 0.250
Ag8 Ag 0.750 0.750 0.750
```


(9)
The following is a DFT calculation (GGA-PBEsol) of a relaxed structure of Er2ZnAg.

Calculated values
calculated formation energy: -0.34 eV/atom
DFT total energy: -4.026 eV/atom
crystal system: cubic

```
data_Er2ZnAg
_chemical_formula_sum 'Er8 Zn4 Ag4'
_cell_length_a 7.013
_cell_length_b 7.013
_cell_length_c 7.013
_cell_angle_alpha 90.00
_cell_angle_beta 90.00
_cell_angle_gamma 90.00
_space_group_name_H-M_alt 'P 1'
_space_group_IT_number 1
_space_group_name_Hall 'P 1'
loop_
_atom_site_label
_atom_site_type_symbol
_atom_site_fract_x
_atom_site_fract_y
_atom_site_fract_z
Er1 Er 0.250 0.250 0.250
Er2 Er 0.250 0.250 0.750
Er3 Er 0.250 0.750 0.250
Er4 Er 0.250 0.750 0.750
Er5 Er 0.750 0.250 0.250
Er6 Er 0.750 0.250 0.750
Er7 Er 0.750 0.750 0.250
Er8 Er 0.750 0.750 0.750
Zn1 Zn 0.000 0.000 0.000
Zn2 Zn 0.000 0.500 0.500
Zn3 Zn 0.500 0.000 0.500
Zn4 Zn 0.500 0.500 0.000
Ag1 Ag 0.000 0.000 0.500
Ag2 Ag 0.000 0.500 0.000
Ag3 Ag 0.500 0.000 0.000
Ag4 Ag 0.500 0.500 0.500
```


(10)
The following is a DFT calculation (GGA-PBEsol) of a relaxed structure of EuAg5.

Calculated values
calculated formation energy: -0.17 eV/atom
DFT total energy: -4.689 eV/atom
crystal system: hexagonal

```
data_EuAg5
_chemical_formula_sum 'Eu1 Ag5'
_cell_length_a 5.531
_cell_length_b 5.531
_cell_length_c 4.586
_cell_angle_alpha 90.00
_cell_angle_beta 90.00
_cell_angle_gamma 120.00
_space_group_name_H-M_alt 'P 1'
_space_group_IT_number 1
_space_group_name_Hall 'P 1'
loop_
_atom_site_label
_atom_site_type_symbol
_atom_site_fract_x
_atom_site_fract_y
_atom_site_fract_z
Eu1 Eu 0.000 0.000 0.000
Ag1 Ag 0.000 0.500 0.500
Ag2 Ag 0.333 0.667 0.000
Ag3 Ag 0.500 0.000 0.500
Ag4 Ag 0.500 0.500 0.500
Ag5 Ag 0.667 0.333 0.000
```


(11)
The following is a DFT calculation (GGA-PBEsol) of a relaxed structure of EuGaAg4.

Calculated values
calculated formation energy: -0.24 eV/atom
DFT total energy: -4.761 eV/atom
crystal system: orthorhombic

```
data_EuGaAg4
_chemical_formula_sum 'Eu2 Ga2 Ag8'
_cell_length_a 5.655
_cell_length_b 9.206
_cell_length_c 4.534
_cell_angle_alpha 90.00
_cell_angle_beta 90.00
_cell_angle_gamma 90.00
_space_group_name_H-M_alt 'P 1'
_space_group_IT_number 1
_space_group_name_Hall 'P 1'
loop_
_atom_site_label
_atom_site_type_symbol
_atom_site_fract_x
_atom_site_fract_y
_atom_site_fract_z
Eu1 Eu 0.000 0.000 0.000
Eu2 Eu 0.500 0.500 0.000
Ga1 Ga 0.000 0.500 0.500
Ga2 Ga 0.500 0.000 0.500
Ag1 Ag 0.000 0.341 0.000
Ag2 Ag 0.000 0.659 0.000
Ag3 Ag 0.250 0.250 0.500
Ag4 Ag 0.250 0.750 0.500
Ag5 Ag 0.500 0.159 0.000
Ag6 Ag 0.500 0.841 0.000
Ag7 Ag 0.750 0.250 0.500
Ag8 Ag 0.750 0.750 0.500
```


(12)
The following is a DFT calculation (GGA-PBEsol) of a relaxed structure of EuGaAg.

Calculated values
calculated formation energy: -0.44 eV/atom
DFT total energy: -6.183 eV/atom
crystal system: monoclinic

```
data_EuGaAg
_chemical_formula_sum 'Eu4 Ga4 Ag4'
_cell_length_a 10.490
_cell_length_b 4.654
_cell_length_c 7.456
_cell_angle_alpha 90.00
_cell_angle_beta 133.48
_cell_angle_gamma 90.00
_space_group_name_H-M_alt 'P 1'
_space_group_IT_number 1
_space_group_name_Hall 'P 1'
loop_
_atom_site_label
_atom_site_type_symbol
_atom_site_fract_x
_atom_site_fract_y
_atom_site_fract_z
Eu1 Eu 0.051 0.000 0.307
Eu2 Eu 0.449 0.500 0.693
Eu3 Eu 0.551 0.500 0.307
Eu4 Eu 0.949 0.000 0.693
Ga1 Ga 0.160 0.500 0.104
Ga2 Ga 0.340 0.000 0.896
Ga3 Ga 0.660 0.000 0.104
Ga4 Ga 0.840 0.500 0.896
Ag1 Ag 0.173 0.500 0.739
Ag2 Ag 0.327 0.000 0.261
Ag3 Ag 0.673 0.000 0.739
Ag4 Ag 0.827 0.500 0.261
```